Entry 1:
# CaMn2CoAg | the Alexandria database | PBE | relaxed
data_CaMn2CoAg
_cell_length_a 4.5411
_cell_length_b 4.5411
_cell_length_c 5.0032
_cell_angle_alpha 90.00
_cell_angle_beta 90.00
_cell_angle_gamma 90.00
_symmetry_space_group_name_H-M 'P 4/m m m'
_symmetry_Int_Tables_number 123
_symmetry_space_group_name_Hall '-P 4 2'
loop_
_atom_site_label
_atom_site_type_symbol
_atom_site_fract_x
_atom_site_fract_y
_atom_site_fract_z
_atom_site_occupancy
Ca1 Ca 0.0000 0.0000 0.0000 1
Mn1 Mn 0.0000 0.5000 0.5000 1
Co1 Co 0.5000 0.5000 0.5000 1
Ag1 Ag 0.5000 0.5000 0.0000 1
# Density of states at the Fermi level = 2.36 states/eV/f.u.
# Crystal system = tetragonal
# Calculated volume = 103.2 Å³/cell
# Calculated formation energy = 0.452 eV per atom
# Calculated total energy = -28.0 eV for the cell shown

***

Entry 2:
# CaCoAg2Mo | the Alexandria database | PBE | relaxed
data_CaCoAg2Mo
_cell_length_a 5.2035
_cell_length_b 5.2035
_cell_length_c 4.3429
_cell_angle_alpha 90.00
_cell_angle_beta 90.00
_cell_angle_gamma 90.00
_symmetry_space_group_name_H-M 'P 4/m m m'
_symmetry_Int_Tables_number 123
_symmetry_space_group_name_Hall '-P 4 2'
loop_
_atom_site_label
_atom_site_type_symbol
_atom_site_fract_x
_atom_site_fract_y
_atom_site_fract_z
_atom_site_occupancy
Ca1 Ca 0.0000 0.0000 0.0000 1
Co1 Co 0.5000 0.5000 0.0000 1
Ag1 Ag 0.0000 0.5000 0.5000 1
Mo1 Mo 0.5000 0.5000 0.5000 1
# Density of states at the Fermi level = 5.66 states/eV/f.u.
# Crystal system = tetragonal
# Calculated volume = 117.6 Å³/cell
# Calculated formation energy = 0.835 eV per atom
# Calculated total energy = -21.5 eV for the cell shown

***

Entry 3:
# CaNdCoAg | the Alexandria database | PBE | relaxed
data_CaNdCoAg
_cell_length_a 7.1622
_cell_length_b 7.1622
_cell_length_c 7.1622
_cell_angle_alpha 90.00
_cell_angle_beta 90.00
_cell_angle_gamma 90.00
_symmetry_space_group_name_H-M 'F -4 3 m'
_symmetry_Int_Tables_number 216
_symmetry_space_group_name_Hall 'F -4 2 3'
loop_
_atom_site_label
_atom_site_type_symbol
_atom_site_fract_x
_atom_site_fract_y
_atom_site_fract_z
_atom_site_occupancy
Ca1 Ca 0.0000 0.0000 0.0000 1
Nd1 Nd 0.0000 0.0000 0.5000 1
Co1 Co 0.2500 0.2500 0.2500 1
Ag1 Ag 0.2500 0.2500 0.7500 1
# Density of states at the Fermi level = 2.64 states/eV/f.u.
# Crystal system = cubic
# Calculated volume = 367.4 Å³/cell
# Calculated formation energy = 0.012 eV per atom
# Calculated total energy = -66.7 eV for the cell shown

***

Entry 4:
# CaPmCoAg | the Alexandria database | PBE | relaxed
data_CaPmCoAg
_cell_length_a 7.1304
_cell_length_b 7.1304
_cell_length_c 7.1304
_cell_angle_alpha 90.00
_cell_angle_beta 90.00
_cell_angle_gamma 90.00
_symmetry_space_group_name_H-M 'F -4 3 m'
_symmetry_Int_Tables_number 216
_symmetry_space_group_name_Hall 'F -4 2 3'
loop_
_atom_site_label
_atom_site_type_symbol
_atom_site_fract_x
_atom_site_fract_y
_atom_site_fract_z
_atom_site_occupancy
Ca1 Ca 0.0000 0.0000 0.0000 1
Pm1 Pm 0.0000 0.0000 0.5000 1
Co1 Co 0.2500 0.2500 0.7500 1
Ag1 Ag 0.2500 0.2500 0.2500 1
# Density of states at the Fermi level = 2.55 states/eV/f.u.
# Crystal system = cubic
# Calculated volume = 362.5 Å³/cell
# Calculated formation energy = 0.004 eV per atom
# Calculated total energy = -66.8 eV for the cell shown

***

Entry 5:
# RbCa2CoAg | the Alexandria database | PBE | relaxed
data_RbCa2CoAg
_cell_length_a 5.9028
_cell_length_b 5.9028
_cell_length_c 4.4306
_cell_angle_alpha 90.00
_cell_angle_beta 90.00
_cell_angle_gamma 90.00
_symmetry_space_group_name_H-M 'P 4/m m m'
_symmetry_Int_Tables_number 123
_symmetry_space_group_name_Hall '-P 4 2'
loop_
_atom_site_label
_atom_site_type_symbol
_atom_site_fract_x
_atom_site_fract_y
_atom_site_fract_z
_atom_site_occupancy
Rb1 Rb 0.0000 0.0000 0.0000 1
Ca1 Ca 0.0000 0.5000 0.0000 1
Co1 Co 0.0000 0.0000 0.5000 1
Ag1 Ag 0.5000 0.5000 0.5000 1
# Density of states at the Fermi level = 3.34 states/eV/f.u.
# Crystal system = tetragonal
# Calculated volume = 154.4 Å³/cell
# Calculated formation energy = 1.336 eV per atom
# Calculated total energy = -8.2 eV for the cell shown

***

Entry 6:
# CaCoAg2Sb | the Alexandria database | PBE | relaxed
data_CaCoAg2Sb
_cell_length_a 5.2386
_cell_length_b 5.2386
_cell_length_c 4.6601
_cell_angle_alpha 90.00
_cell_angle_beta 90.00
_cell_angle_gamma 90.00
_symmetry_space_group_name_H-M 'P 4/m m m'
_symmetry_Int_Tables_number 123
_symmetry_space_group_name_Hall '-P 4 2'
loop_
_atom_site_label
_atom_site_type_symbol
_atom_site_fract_x
_atom_site_fract_y
_atom_site_fract_z
_atom_site_occupancy
Ca1 Ca 0.0000 0.0000 0.0000 1
Co1 Co 0.0000 0.0000 0.5000 1
Ag1 Ag 0.0000 0.5000 0.0000 1
Sb1 Sb 0.5000 0.5000 0.5000 1
# Density of states at the Fermi level = 4.23 states/eV/f.u.
# Crystal system = tetragonal
# Calculated volume = 127.9 Å³/cell
# Calculated total energy = -13.2 eV for the cell shown

***

Entry 7:
# CaSmCoAg | the Alexandria database | PBE | relaxed
data_CaSmCoAg
_cell_length_a 7.1076
_cell_length_b 7.1076
_cell_length_c 7.1076
_cell_angle_alpha 90.00
_cell_angle_beta 90.00
_cell_angle_gamma 90.00
_symmetry_space_group_name_H-M 'F -4 3 m'
_symmetry_Int_Tables_number 216
_symmetry_space_group_name_Hall 'F -4 2 3'
loop_
_atom_site_label
_atom_site_type_symbol
_atom_site_fract_x
_atom_site_fract_y
_atom_site_fract_z
_atom_site_occupancy
Ca1 Ca 0.0000 0.0000 0.0000 1
Sm1 Sm 0.0000 0.0000 0.5000 1
Co1 Co 0.2500 0.2500 0.2500 1
Ag1 Ag 0.2500 0.2500 0.7500 1
# Density of states at the Fermi level = 2.50 states/eV/f.u.
# Crystal system = cubic
# Calculated volume = 359.1 Å³/cell
# Calculated formation energy = -0.001 eV per atom
# Calculated total energy = -66.7 eV for the cell shown

***

Entry 8:
# Ca2TlCoAg | the Alexandria database | PBE | relaxed
data_Ca2TlCoAg
_cell_length_a 5.9241
_cell_length_b 5.9241
_cell_length_c 5.1603
_cell_angle_alpha 90.00
_cell_angle_beta 90.00
_cell_angle_gamma 90.00
_symmetry_space_group_name_H-M 'P 4/m m m'
_symmetry_Int_Tables_number 123
_symmetry_space_group_name_Hall '-P 4 2'
loop_
_atom_site_label
_atom_site_type_symbol
_atom_site_fract_x
_atom_site_fract_y
_atom_site_fract_z
_atom_site_occupancy
Ca1 Ca 0.0000 0.5000 0.0000 1
Tl1 Tl 0.0000 0.0000 0.0000 1
Co1 Co 0.5000 0.5000 0.5000 1
Ag1 Ag 0.0000 0.0000 0.5000 1
# Density of states at the Fermi level = 4.47 states/eV/f.u.
# Crystal system = tetragonal
# Calculated volume = 181.1 Å³/cell
# Calculated formation energy = 0.770 eV per atom
# Calculated total energy = -12.5 eV for the cell shown

***

Entry 9:
# CaVCo2Ag | the Alexandria database | PBE | relaxed
data_CaVCo2Ag
_cell_length_a 4.2717
_cell_length_b 4.2717
_cell_length_c 5.1126
_cell_angle_alpha 90.00
_cell_angle_beta 90.00
_cell_angle_gamma 90.00
_symmetry_space_group_name_H-M 'P 4/m m m'
_symmetry_Int_Tables_number 123
_symmetry_space_group_name_Hall '-P 4 2'
loop_
_atom_site_label
_atom_site_type_symbol
_atom_site_fract_x
_atom_site_fract_y
_atom_site_fract_z
_atom_site_occupancy
Ca1 Ca 0.0000 0.0000 0.0000 1
V1 V 0.5000 0.5000 0.5000 1
Co1 Co 0.0000 0.5000 0.5000 1
Ag1 Ag 0.5000 0.5000 0.0000 1
# Density of states at the Fermi level = 5.23 states/eV/f.u.
# Crystal system = tetragonal
# Calculated volume = 93.3 Å³/cell
# Calculated formation energy = 0.586 eV per atom
# Calculated total energy = -25.3 eV for the cell shown

***

Entry 10:
# Ca2ZrCoAg | the Alexandria database | PBE | relaxed
data_Ca2ZrCoAg
_cell_length_a 5.4642
_cell_length_b 5.4642
_cell_length_c 4.8274
_cell_angle_alpha 90.00
_cell_angle_beta 90.00
_cell_angle_gamma 90.00
_symmetry_space_group_name_H-M 'P 4/m m m'
_symmetry_Int_Tables_number 123
_symmetry_space_group_name_Hall '-P 4 2'
loop_
_atom_site_label
_atom_site_type_symbol
_atom_site_fract_x
_atom_site_fract_y
_atom_site_fract_z
_atom_site_occupancy
Ca1 Ca 0.0000 0.5000 0.0000 1
Zr1 Zr 0.0000 0.0000 0.5000 1
Co1 Co 0.5000 0.5000 0.5000 1
Ag1 Ag 0.5000 0.5000 0.0000 1
# Density of states at the Fermi level = 8.77 states/eV/f.u.
# Crystal system = tetragonal
# Calculated volume = 144.1 Å³/cell
# Calculated formation energy = 0.889 eV per atom
# Calculated total energy = -18.1 eV for the cell shown